DFT (PBE) results for crystalline CoPdRu at its relaxed geometry.

abc: 2.6910 2.6910 11.0927
angles: 90.00 90.00 90.00
Space group I4mm (No. 107)
Asymmetric unit:
Co (0.0000, 0.0000, 0.0000) x2
Pd (0.0000, 0.0000, 0.3298) x2
Ru (0.0000, 0.0000, 0.6456) x2

Summary:
Energy relative to the lowest polymorph listed for this composition = 0.073 eV/f.u.
Magnetization = 0.475 μB/atom
Crystal system = tetragonal